# PBE LaLuTlIn, relaxed
data_LaLuTlIn
_chemical_formula_sum 'La1 Lu1 Tl1 In1'
_symmetry_space_group_name_H-M 'P 1'
_symmetry_Int_Tables_number 1
_cell_length_a 5.4409
_cell_length_b 5.4409
_cell_length_c 5.4409
_cell_angle_alpha 60.00
_cell_angle_beta 60.00
_cell_angle_gamma 60.00
loop_
_symmetry_equiv_pos_as_xyz
'x,y,z'
loop_
_atom_site_label
_atom_site_type_symbol
_atom_site_fract_x
_atom_site_fract_y
_atom_site_fract_z
Tl1 Tl 0.0000 0.0000 0.0000
Lu1 Lu 0.2500 0.2500 0.2500
In1 In 0.5000 0.5000 0.5000
La1 La 0.7500 0.7500 0.7500
# D(E_F) = 0.4795 states/eV/atom
# energy relative to the elements = -397 meV/atom
# VASP energy = -16.1 eV for the cell shown



# PBE LaTmLuIn, relaxed
data_LaTmLuIn
_chemical_formula_sum 'La1 Tm1 Lu1 In1'
_symmetry_space_group_name_H-M 'P 1'
_symmetry_Int_Tables_number 1
_cell_length_a 5.4934
_cell_length_b 5.4934
_cell_length_c 5.4934
_cell_angle_alpha 60.00
_cell_angle_beta 60.00
_cell_angle_gamma 60.00
loop_
_symmetry_equiv_pos_as_xyz
'x,y,z'
loop_
_atom_site_label
_atom_site_type_symbol
_atom_site_fract_x
_atom_site_fract_y
_atom_site_fract_z
Lu1 Lu 0.7500 0.7500 0.7500
In1 In 0.2500 0.2500 0.2500
Tm1 Tm 0.5000 0.5000 0.5000
La1 La 0.0000 0.0000 0.0000
# D(E_F) = 1.6431 states/eV/atom
# energy relative to the elements = -152 meV/atom
# VASP energy = -17.3 eV for the cell shown



# PBE LaYLuIn, relaxed
data_LaYLuIn
_chemical_formula_sum 'La1 Y1 Lu1 In1'
_symmetry_space_group_name_H-M 'P 1'
_symmetry_Int_Tables_number 1
_cell_length_a 5.5253
_cell_length_b 5.5253
_cell_length_c 5.5253
_cell_angle_alpha 60.00
_cell_angle_beta 60.00
_cell_angle_gamma 60.00
loop_
_symmetry_equiv_pos_as_xyz
'x,y,z'
loop_
_atom_site_label
_atom_site_type_symbol
_atom_site_fract_x
_atom_site_fract_y
_atom_site_fract_z
Y1 Y 0.2500 0.2500 0.2500
La1 La 0.7500 0.7500 0.7500
In1 In 0.0000 0.0000 0.0000
Lu1 Lu 0.5000 0.5000 0.5000
# D(E_F) = 1.5118 states/eV/atom
# energy relative to the elements = -176 meV/atom
# VASP energy = -19.4 eV for the cell shown



# PBE LaMg4In, relaxed
data_LaMg4In
_chemical_formula_sum 'La1 Mg4 In1'
_symmetry_space_group_name_H-M 'P 1'
_symmetry_Int_Tables_number 1
_cell_length_a 6.0648
_cell_length_b 6.0648
_cell_length_c 6.0648
_cell_angle_alpha 60.00
_cell_angle_beta 60.00
_cell_angle_gamma 60.00
loop_
_symmetry_equiv_pos_as_xyz
'x,y,z'
loop_
_atom_site_label
_atom_site_type_symbol
_atom_site_fract_x
_atom_site_fract_y
_atom_site_fract_z
Mg1 Mg 0.3749 0.3749 0.8752
La1 La 0.0000 0.0000 0.0000
Mg2 Mg 0.3749 0.8752 0.3749
Mg3 Mg 0.8752 0.3749 0.3749
In1 In 0.7500 0.7500 0.7500
Mg4 Mg 0.3749 0.3749 0.3749
# D(E_F) = 0.5423 states/eV/atom
# energy relative to the elements = -52 meV/atom
# VASP energy = -14.4 eV for the cell shown



# PBE LaMgIn, relaxed
data_LaMgIn
_chemical_formula_sum 'La1 Mg1 In1'
_symmetry_space_group_name_H-M 'P 1'
_symmetry_Int_Tables_number 1
_cell_length_a 5.2814
_cell_length_b 5.2814
_cell_length_c 5.2814
_cell_angle_alpha 60.00
_cell_angle_beta 60.00
_cell_angle_gamma 60.00
loop_
_symmetry_equiv_pos_as_xyz
'x,y,z'
loop_
_atom_site_label
_atom_site_type_symbol
_atom_site_fract_x
_atom_site_fract_y
_atom_site_fract_z
In1 In 0.2500 0.2500 0.2500
La1 La 0.5000 0.5000 0.5000
Mg1 Mg 0.7500 0.7500 0.7500
# D(E_F) = 0.3242 states/eV/atom
# energy relative to the elements = 188 meV/atom
# VASP energy = -8.7 eV for the cell shown



# PBE LaMgIn, relaxed
data_LaMgIn
_chemical_formula_sum 'La2 Mg2 In2'
_symmetry_space_group_name_H-M 'P 1'
_symmetry_Int_Tables_number 1
_cell_length_a 4.8564
_cell_length_b 4.8564
_cell_length_c 7.7474
_cell_angle_alpha 90.00
_cell_angle_beta 90.00
_cell_angle_gamma 90.00
loop_
_symmetry_equiv_pos_as_xyz
'x,y,z'
loop_
_atom_site_label
_atom_site_type_symbol
_atom_site_fract_x
_atom_site_fract_y
_atom_site_fract_z
Mg1 Mg 0.5000 0.0000 0.2647
In1 In 0.5000 0.5000 0.5000
Mg2 Mg 0.0000 0.5000 0.7353
In2 In 0.0000 0.0000 0.5000
La1 La 0.0000 0.5000 0.1930
La2 La 0.5000 0.0000 0.8070
# D(E_F) = 0.9872 states/eV/atom
# energy relative to the elements = -204 meV/atom
# VASP energy = -19.7 eV for the cell shown



# PBE LaMgIn, relaxed
data_LaMgIn
_chemical_formula_sum 'La1 Mg1 In1'
_symmetry_space_group_name_H-M 'P 1'
_symmetry_Int_Tables_number 1
_cell_length_a 3.4010
_cell_length_b 3.4010
_cell_length_c 8.4488
_cell_angle_alpha 90.00
_cell_angle_beta 90.00
_cell_angle_gamma 120.00
loop_
_symmetry_equiv_pos_as_xyz
'x,y,z'
loop_
_atom_site_label
_atom_site_type_symbol
_atom_site_fract_x
_atom_site_fract_y
_atom_site_fract_z
Mg1 Mg 0.3333 0.6667 0.6869
In1 In 0.0000 0.0000 0.9851
La1 La 0.6667 0.3333 0.3281
# D(E_F) = 0.9953 states/eV/atom
# energy relative to the elements = -86 meV/atom
# VASP energy = -9.5 eV for the cell shown



# PBE La2MgIn9, relaxed
data_La2MgIn9
_chemical_formula_sum 'La2 Mg1 In9'
_symmetry_space_group_name_H-M 'P 1'
_symmetry_Int_Tables_number 1
_cell_length_a 4.7755
_cell_length_b 4.7755
_cell_length_c 13.9736
_cell_angle_alpha 90.00
_cell_angle_beta 90.00
_cell_angle_gamma 90.00
loop_
_symmetry_equiv_pos_as_xyz
'x,y,z'
loop_
_atom_site_label
_atom_site_type_symbol
_atom_site_fract_x
_atom_site_fract_y
_atom_site_fract_z
In1 In 0.5000 0.0000 0.1532
In2 In 0.0000 0.5000 0.1532
In3 In 0.5000 0.5000 0.3353
In4 In 0.5000 0.0000 0.8468
In5 In 0.5000 0.5000 0.6647
La1 La 0.0000 0.0000 0.3273
La2 La 0.0000 0.0000 0.6727
In6 In 0.0000 0.5000 0.5000
In7 In 0.5000 0.0000 0.5000
Mg1 Mg 0.0000 0.0000 0.0000
In8 In 0.0000 0.5000 0.8468
In9 In 0.5000 0.5000 0.0000
# D(E_F) = 0.4219 states/eV/atom
# energy relative to the elements = -329 meV/atom
# VASP energy = -40.0 eV for the cell shown